This record from Alexandria via LeMat-Bulk describes K12Hg3S5 after structural relaxation. The functional is GGA-PBE.

Unit cell a=19.7344 b=19.7344 c=19.7344 alpha=90.00 beta=90.00 gamma=90.00
Space group Ia-3d (No. 230)
Asymmetric unit:
K 0.0355 0.0526 0.6423 (multiplicity 96)
Hg 0.0000 0.2500 0.1250 (multiplicity 24)
S 0.0000 0.0000 0.0000 (multiplicity 16)
S 0.0000 0.2500 0.3750 (multiplicity 24)

Values from the calculation:
The calculation puts the formation energy from raw total energies at -0.642 eV/atom. Its spin magnetization is 0.000 μB per atom. For the total energy, the calculation gives -380.49 eV/cell. The density of states at the Fermi level is 57.01 states/eV per cell.